{
  "formula": "FeAsI2O",
  "functional": "GGA+U",
  "state": "relaxed",
  "n_ef_per_ev_cell": 4.065,
  "space_group": "P4/mmm, No. 123",
  "total_energy_ev_per_atom": -3.6379,
  "rho_g_cm3": 5.70,
  "volume_a3_per_fu": 116.6,
  "polymorph_energy_mev_per_atom": 0,
  "lattice": [[5.628, 0.000, 0.000], [0.000, 5.628, 0.000], [0.000, 0.000, 3.681]],
  "species": ["I", "I", "As", "Fe", "O"],
  "frac_coords": [[0.000, 0.500, 0.000], [0.500, 0.000, 0.000], [0.500, 0.500, 0.500], [0.000, 0.000, 0.000], [0.000, 0.000, 0.500]]
}